A geometry-optimized NaNdHgRh structure, computed with PBE.

Cell and atoms, written as extended XYZ:
```
4
Lattice="0.000 3.582 3.582 3.582 0.000 3.582 3.582 3.582 0.000" Properties=species:S:1:pos:R:3 pbc="T T T"
Na 0.000 0.000 0.000
Nd 3.582 3.582 3.582
Hg 5.374 5.374 5.374
Rh 1.791 1.791 1.791
```

## Properties
**Theoretical density**: 8.5 Mg/m³
**Magnetic moment**: 0.0 μB/cell
**Formation energy from the elements**: -202 meV per atom
**Crystal system**: cubic

A geometry-optimized Ho2ErPb structure, computed with PBE.

Cell and atoms, written as extended XYZ:
```
4
Lattice="2.600 1.501 5.614 -2.600 1.501 5.614 0.000 -3.003 5.614" Properties=species:S:1:pos:R:3 pbc="T T T"
Ho 0.000 0.000 0.000
Ho 0.000 0.000 3.688
Er 0.000 0.000 7.355
Pb 0.000 0.000 10.696
```

## Properties
**Theoretical density**: 8.9 Mg/m³
**Magnetic moment**: 0.0 μB/cell
**Formation energy from the elements**: 56 meV per atom
**Crystal system**: trigonal

A geometry-optimized Sr2In4PdAu3 structure, computed with PBE.

Cell and atoms, written as extended XYZ:
```
10
Lattice="4.698 0.000 0.000 0.000 4.698 0.000 0.000 0.000 11.473" Properties=species:S:1:pos:R:3 pbc="T T T"
Sr 0.000 2.349 2.784
Sr 2.349 0.000 8.690
In 0.000 0.000 5.737
In 0.000 2.349 10.078
In 2.349 0.000 1.395
In 2.349 2.349 5.737
Pd 2.349 2.349 0.000
Au 0.000 0.000 0.000
Au 0.000 2.349 7.353
Au 2.349 0.000 4.121
```

## Properties
**Theoretical density**: 8.7 Mg/m³
**Magnetic moment**: 0.0 μB/cell
**Formation energy from the elements**: -545 meV per atom
**Crystal system**: tetragonal

A geometry-optimized Tl3Ag2Cl4F2 structure, computed with PBE.

Cell and atoms, written as extended XYZ:
```
11
Lattice="-2.516 2.516 12.096 2.516 -2.516 12.096 2.516 2.516 -12.096" Properties=species:S:1:pos:R:3 pbc="T T T"
Tl 0.000 0.000 0.000
Tl 0.000 0.000 4.725
Tl 0.000 0.000 19.466
Ag 0.000 0.000 9.519
Ag 0.000 0.000 14.672
Cl 2.516 0.000 2.184
Cl 2.516 0.000 9.912
Cl 0.000 2.516 2.184
Cl 0.000 2.516 9.912
F 0.000 0.000 7.127
F 0.000 0.000 17.065
```

## Properties
**Theoretical density**: 5.5 Mg/m³
**Magnetic moment**: 0.0 μB/cell
**Formation energy without anion corrections**: -974.4 meV per atom
**Crystal system**: tetragonal